Entry 1:
First-principles (PBE) data for an optimized crystal structure of GdEr2Cd3Cu2Ag, as listed in OQMD.

Values from the calculation:
Formation enthalpy at 0 K = -0.301 eV per atom

a b c (Å): 3.8547 7.6496 7.6496
angles (deg): 119.99 90.00 90.00
Fractional positions:
Gd1 0.0000 0.0000 0.0000
Er1 0.0000 0.4102 0.8205
Er2 0.0000 0.8205 0.4102
Cd1 0.5000 0.1416 0.4118
Cd2 0.5000 0.4118 0.1416
Cd3 0.5000 0.6776 0.6776
Cu1 0.5000 0.0777 0.7409
Cu2 0.5000 0.7409 0.0777
Ag1 0.0000 0.4111 0.4111

---

Entry 2:
First-principles (PBE) data for an optimized crystal structure of Ho2ErCd3Cu2Ag, as listed in OQMD.

Values from the calculation:
Formation enthalpy at 0 K = -0.302 eV per atom

a b c (Å): 3.8420 7.6369 7.6369
angles (deg): 120.01 90.00 90.00
Fractional positions:
Ho1 0.0000 0.2051 0.7949
Ho2 0.0000 0.7949 0.2051
Er1 0.0000 0.6152 0.6152
Cd1 0.5000 0.2054 0.4744
Cd2 0.5000 0.4744 0.2054
Cd3 0.5000 0.9354 0.9354
Cu1 0.5000 0.5386 0.8713
Cu2 0.5000 0.8713 0.5386
Ag1 0.0000 0.2053 0.2053

---

Entry 3:
First-principles (PBE) data for an optimized crystal structure of Gd3Cd3CuAg2, as listed in OQMD.

Values from the calculation:
Formation enthalpy at 0 K = -0.328 eV per atom

a b c (Å): 7.6310 7.6310 4.0549
angles (deg): 90.00 90.00 120.00
Fractional positions:
Gd1 0.0000 0.5945 0.0000
Gd2 0.4055 0.4055 0.0000
Gd3 0.5945 0.0000 0.0000
Cd1 0.0000 0.2434 0.5000
Cd2 0.2434 0.0000 0.5000
Cd3 0.7566 0.7566 0.5000
Cu1 0.0000 0.0000 0.0000
Ag1 0.3333 0.6667 0.5000
Ag2 0.6667 0.3333 0.5000

---

Entry 4:
First-principles (PBE) data for an optimized crystal structure of Tb2GdCd3Cu2Ag, as listed in OQMD.

Values from the calculation:
Formation enthalpy at 0 K = -0.305 eV per atom

a b c (Å): 3.8708 7.7003 7.7003
angles (deg): 119.99 90.00 90.00
Fractional positions:
Tb1 0.0000 0.2050 0.7950
Tb2 0.0000 0.7950 0.2050
Gd1 0.0000 0.6151 0.6151
Cd1 0.5000 0.2046 0.4732
Cd2 0.5000 0.4732 0.2046
Cd3 0.5000 0.9373 0.9373
Cu1 0.5000 0.5382 0.8722
Cu2 0.5000 0.8722 0.5382
Ag1 0.0000 0.2048 0.2048

---

Entry 5:
First-principles (PBE) data for an optimized crystal structure of Gd2YCd3Cu2Ag, as listed in OQMD.

Values from the calculation:
Formation enthalpy at 0 K = -0.308 eV per atom

a b c (Å): 3.8814 7.6817 7.6817
angles (deg): 120.10 90.00 90.00
Fractional positions:
Gd1 0.0000 0.2049 0.7951
Gd2 0.0000 0.7951 0.2049
Y1 0.0000 0.6148 0.6148
Cd1 0.5000 0.2058 0.4728
Cd2 0.5000 0.4728 0.2058
Cd3 0.5000 0.9361 0.9361
Cu1 0.5000 0.5382 0.8713
Cu2 0.5000 0.8713 0.5382
Ag1 0.0000 0.2049 0.2049

---

Entry 6:
First-principles (PBE) data for an optimized crystal structure of GdY2Cd3Cu2Ag, as listed in OQMD.

Values from the calculation:
Formation enthalpy at 0 K = -0.313 eV per atom

a b c (Å): 3.8768 7.6910 7.6910
angles (deg): 119.89 90.00 90.00
Fractional positions:
Gd1 0.0000 0.0000 0.0000
Y1 0.0000 0.4098 0.8197
Y2 0.0000 0.8197 0.4098
Cd1 0.5000 0.1415 0.4106
Cd2 0.5000 0.4106 0.1415
Cd3 0.5000 0.6772 0.6772
Cu1 0.5000 0.0765 0.7428
Cu2 0.5000 0.7428 0.0765
Ag1 0.0000 0.4099 0.4099